1.
# FeNCl3 | Alexandria via LeMat-Bulk | PBE | optimized geometry
data_FeNCl3
_chemical_formula_sum 'Fe1 N1 Cl3'
_symmetry_space_group_name_H-M 'P 1'
_symmetry_Int_Tables_number 1
_cell_length_a 4.414
_cell_length_b 4.414
_cell_length_c 4.414
_cell_angle_alpha 90.00
_cell_angle_beta 90.00
_cell_angle_gamma 90.00
loop_
_symmetry_equiv_pos_as_xyz
'x,y,z'
loop_
_atom_site_label
_atom_site_fract_x
_atom_site_fract_y
_atom_site_fract_z
Fe1 0.000 0.000 0.000
N1 0.500 0.500 0.500
Cl1 0.000 0.500 0.500
Cl2 0.500 0.000 0.500
Cl3 0.500 0.500 0.000
# * raw formation energy: 1.14 eV per atom
# * symmetry: No. 221
# * raw total energy: -16.650 eV per cell
# * density of states at the Fermi level: 2.01 states/eV/atom
# * offset from the most stable computed form: 602 meV per atom

2.
# TaZn2SnBi | Alexandria via LeMat-Bulk | PBE | optimized geometry
data_TaZn2SnBi
_chemical_formula_sum 'Ta1 Zn2 Sn1 Bi1'
_symmetry_space_group_name_H-M 'P 1'
_symmetry_Int_Tables_number 1
_cell_length_a 5.115
_cell_length_b 5.115
_cell_length_c 5.413
_cell_angle_alpha 90.00
_cell_angle_beta 90.00
_cell_angle_gamma 90.00
loop_
_symmetry_equiv_pos_as_xyz
'x,y,z'
loop_
_atom_site_label
_atom_site_fract_x
_atom_site_fract_y
_atom_site_fract_z
Ta1 0.000 0.000 0.000
Zn1 0.000 0.500 0.000
Zn2 0.500 0.000 0.000
Sn1 0.500 0.500 0.500
Bi1 0.000 0.000 0.500
# * symmetry: No. 123
# * raw total energy: -18.604 eV per cell
# * density of states at the Fermi level: 0.60 states/eV/atom
# * ΔH_f (0 K): 736 meV/atom
# * offset from the most stable computed form: 0 meV per atom

3.
# ZrMnIn | Alexandria via LeMat-Bulk | PBE | optimized geometry
data_ZrMnIn
_chemical_formula_sum 'Zr1 Mn1 In1'
_symmetry_space_group_name_H-M 'P 1'
_symmetry_Int_Tables_number 1
_cell_length_a 3.147
_cell_length_b 3.147
_cell_length_c 7.155
_cell_angle_alpha 90.00
_cell_angle_beta 90.00
_cell_angle_gamma 120.00
loop_
_symmetry_equiv_pos_as_xyz
'x,y,z'
loop_
_atom_site_label
_atom_site_fract_x
_atom_site_fract_y
_atom_site_fract_z
Zr1 0.000 0.000 0.000
Mn1 0.667 0.333 0.687
In1 0.333 0.667 0.365
# * symmetry: No. 156
# * raw total energy: -19.977 eV per cell
# * density of states at the Fermi level: 0.91 states/eV/atom
# * ΔH_f (0 K): 160 meV/atom

4.
# NbGa2Cl | Alexandria via LeMat-Bulk | PBE | optimized geometry
data_NbGa2Cl
_chemical_formula_sum 'Nb1 Ga2 Cl1'
_symmetry_space_group_name_H-M 'P 1'
_symmetry_Int_Tables_number 1
_cell_length_a 4.777
_cell_length_b 4.777
_cell_length_c 4.777
_cell_angle_alpha 60.00
_cell_angle_beta 60.00
_cell_angle_gamma 60.00
loop_
_symmetry_equiv_pos_as_xyz
'x,y,z'
loop_
_atom_site_label
_atom_site_fract_x
_atom_site_fract_y
_atom_site_fract_z
Nb1 0.000 0.000 0.000
Ga1 0.250 0.250 0.250
Ga2 0.750 0.750 0.750
Cl1 0.500 0.500 0.500
# * raw formation energy: 0.52 eV per atom
# * symmetry: No. 225
# * raw total energy: -15.905 eV per cell
# * density of states at the Fermi level: 0.41 states/eV/atom
# * offset from the most stable computed form: 278 meV per atom

5.
# Nd2SmReO8 | Alexandria via LeMat-Bulk | PBE | optimized geometry
data_Nd2SmReO8
_chemical_formula_sum 'Nd2 Sm1 Re1 O8'
_symmetry_space_group_name_H-M 'P 1'
_symmetry_Int_Tables_number 1
_cell_length_a 5.202
_cell_length_b 5.202
_cell_length_c 6.965
_cell_angle_alpha 90.00
_cell_angle_beta 90.00
_cell_angle_gamma 90.40
loop_
_symmetry_equiv_pos_as_xyz
'x,y,z'
loop_
_atom_site_label
_atom_site_fract_x
_atom_site_fract_y
_atom_site_fract_z
Nd1 0.000 0.000 0.248
Nd2 0.000 0.000 0.752
Sm1 0.500 0.500 0.500
Re1 0.500 0.500 0.000
O1 0.193 0.193 0.500
O2 0.242 0.242 0.000
O3 0.323 0.677 0.202
O4 0.323 0.677 0.798
O5 0.677 0.323 0.202
O6 0.677 0.323 0.798
O7 0.758 0.758 0.000
O8 0.807 0.807 0.500
# * raw formation energy: -2.67 eV per atom
# * symmetry: No. 65
# * raw total energy: -98.411 eV per cell
# * density of states at the Fermi level: 0.00 states/eV/atom

6.
# ReSbOs | Alexandria via LeMat-Bulk | PBE | optimized geometry
data_ReSbOs
_chemical_formula_sum 'Re1 Sb1 Os1'
_symmetry_space_group_name_H-M 'P 1'
_symmetry_Int_Tables_number 1
_cell_length_a 4.329
_cell_length_b 4.329
_cell_length_c 4.329
_cell_angle_alpha 60.00
_cell_angle_beta 60.00
_cell_angle_gamma 60.00
loop_
_symmetry_equiv_pos_as_xyz
'x,y,z'
loop_
_atom_site_label
_atom_site_fract_x
_atom_site_fract_y
_atom_site_fract_z
Re1 0.000 0.000 0.000
Sb1 0.500 0.500 0.500
Os1 0.250 0.250 0.250
# * raw formation energy: 0.50 eV per atom
# * symmetry: No. 216
# * raw total energy: -26.286 eV per cell
# * density of states at the Fermi level: 0.72 states/eV/atom
# * offset from the most stable computed form: 50 meV per atom

7.
# BaY2AlBr | Alexandria via LeMat-Bulk | PBE | optimized geometry
data_BaY2AlBr
_chemical_formula_sum 'Ba1 Y2 Al1 Br1'
_symmetry_space_group_name_H-M 'P 1'
_symmetry_Int_Tables_number 1
_cell_length_a 5.960
_cell_length_b 5.960
_cell_length_c 5.566
_cell_angle_alpha 90.00
_cell_angle_beta 90.00
_cell_angle_gamma 90.00
loop_
_symmetry_equiv_pos_as_xyz
'x,y,z'
loop_
_atom_site_label
_atom_site_fract_x
_atom_site_fract_y
_atom_site_fract_z
Ba1 0.000 0.000 0.000
Y1 0.000 0.500 0.000
Y2 0.500 0.000 0.000
Al1 0.000 0.000 0.500
Br1 0.500 0.500 0.500
# * raw formation energy: 1.05 eV per atom
# * symmetry: No. 123
# * raw total energy: -15.017 eV per cell
# * density of states at the Fermi level: 0.95 states/eV/atom
# * offset from the most stable computed form: 884 meV per atom

8.
# ZnAsBrCl2 | Alexandria via LeMat-Bulk | PBE | optimized geometry
data_ZnAsBrCl2
_chemical_formula_sum 'Zn1 As1 Br1 Cl2'
_symmetry_space_group_name_H-M 'P 1'
_symmetry_Int_Tables_number 1
_cell_length_a 5.038
_cell_length_b 5.038
_cell_length_c 5.397
_cell_angle_alpha 90.00
_cell_angle_beta 90.00
_cell_angle_gamma 90.00
loop_
_symmetry_equiv_pos_as_xyz
'x,y,z'
loop_
_atom_site_label
_atom_site_fract_x
_atom_site_fract_y
_atom_site_fract_z
Zn1 0.000 0.000 0.000
As1 0.500 0.500 0.500
Br1 0.500 0.500 0.000
Cl1 0.000 0.500 0.500
Cl2 0.500 0.000 0.500
# * raw formation energy: -0.14 eV per atom
# * symmetry: No. 123
# * raw total energy: -12.006 eV per cell
# * density of states at the Fermi level: 0.74 states/eV/atom

9.
# LiCo2HAu | Alexandria via LeMat-Bulk | PBE | optimized geometry
data_LiCo2HAu
_chemical_formula_sum 'Li1 Co2 H1 Au1'
_symmetry_space_group_name_H-M 'P 1'
_symmetry_Int_Tables_number 1
_cell_length_a 3.581
_cell_length_b 3.581
_cell_length_c 4.124
_cell_angle_alpha 90.00
_cell_angle_beta 90.00
_cell_angle_gamma 90.00
loop_
_symmetry_equiv_pos_as_xyz
'x,y,z'
loop_
_atom_site_label
_atom_site_fract_x
_atom_site_fract_y
_atom_site_fract_z
Li1 0.000 0.000 0.000
Co1 0.000 0.500 0.500
Co2 0.500 0.000 0.500
H1 0.000 0.000 0.500
Au1 0.500 0.500 0.000
# * symmetry: No. 123
# * raw total energy: -22.965 eV per cell
# * density of states at the Fermi level: 0.92 states/eV/atom

10.
# Sr2AsP | Alexandria via LeMat-Bulk | PBE | optimized geometry
data_Sr2AsP
_chemical_formula_sum 'Sr2 As1 P1'
_symmetry_space_group_name_H-M 'P 1'
_symmetry_Int_Tables_number 1
_cell_length_a 6.487
_cell_length_b 6.487
_cell_length_c 6.487
_cell_angle_alpha 140.43
_cell_angle_beta 140.43
_cell_angle_gamma 57.20
loop_
_symmetry_equiv_pos_as_xyz
'x,y,z'
loop_
_atom_site_label
_atom_site_fract_x
_atom_site_fract_y
_atom_site_fract_z
Sr1 0.000 0.000 0.000
Sr2 0.750 0.250 0.500
As1 0.250 0.750 0.500
P1 0.500 0.500 0.000
# * symmetry: No. 119
# * raw total energy: -16.091 eV per cell
# * density of states at the Fermi level: 0.54 states/eV/atom
# * ΔH_f (0 K): -667 meV/atom
# * offset from the most stable computed form: 290 meV per atom

11.
# GaSiSn2Au6 | Alexandria via LeMat-Bulk | PBE | optimized geometry
data_GaSiSn2Au6
_chemical_formula_sum 'Ga2 Si2 Sn4 Au12'
_symmetry_space_group_name_H-M 'P 1'
_symmetry_Int_Tables_number 1
_cell_length_a 5.605
_cell_length_b 9.006
_cell_length_c 8.705
_cell_angle_alpha 90.00
_cell_angle_beta 90.00
_cell_angle_gamma 90.00
loop_
_symmetry_equiv_pos_as_xyz
'x,y,z'
loop_
_atom_site_label
_atom_site_fract_x
_atom_site_fract_y
_atom_site_fract_z
Ga1 0.250 0.250 0.226
Ga2 0.750 0.750 0.774
Si1 0.250 0.750 0.256
Si2 0.750 0.250 0.744
Sn1 0.250 0.514 0.797
Sn2 0.250 0.986 0.797
Sn3 0.750 0.014 0.203
Sn4 0.750 0.486 0.203
Au1 0.001 0.250 0.492
Au2 0.002 0.250 0.976
Au3 0.250 0.502 0.370
Au4 0.250 0.998 0.370
Au5 0.498 0.250 0.976
Au6 0.499 0.250 0.492
Au7 0.501 0.750 0.508
Au8 0.502 0.750 0.024
Au9 0.750 0.002 0.630
Au10 0.750 0.498 0.630
Au11 0.998 0.750 0.024
Au12 0.999 0.750 0.508
# * raw formation energy: -0.03 eV per atom
# * symmetry: No. 59
# * raw total energy: -72.889 eV per cell
# * density of states at the Fermi level: 0.24 states/eV/atom

12.
# PmSn2P2Pt7 | Alexandria via LeMat-Bulk | PBE | optimized geometry
data_PmSn2P2Pt7
_chemical_formula_sum 'Pm1 Sn2 P2 Pt7'
_symmetry_space_group_name_H-M 'P 1'
_symmetry_Int_Tables_number 1
_cell_length_a 15.393
_cell_length_b 15.393
_cell_length_c 15.393
_cell_angle_alpha 165.20
_cell_angle_beta 165.20
_cell_angle_gamma 20.99
loop_
_symmetry_equiv_pos_as_xyz
'x,y,z'
loop_
_atom_site_label
_atom_site_fract_x
_atom_site_fract_y
_atom_site_fract_z
Pm1 0.000 0.000 0.000
Sn1 0.213 0.213 0.000
Sn2 0.787 0.787 0.000
P1 0.381 0.381 0.000
P2 0.619 0.619 0.000
Pt1 0.076 0.576 0.500
Pt2 0.305 0.305 0.000
Pt3 0.424 0.924 0.500
Pt4 0.500 0.500 0.000
Pt5 0.576 0.076 0.500
Pt6 0.695 0.695 0.000
Pt7 0.924 0.424 0.500
# * symmetry: No. 139
# * raw total energy: -73.585 eV per cell
# * density of states at the Fermi level: 0.31 states/eV/atom
# * ΔH_f (0 K): -644 meV/atom

| no. | M_tot (μB per cell) |
| --- | --- |
| 1 | 3.6 |
| 2 | 0.0 |
| 3 | 3.3 |
| 4 | 0.0 |
| 5 | 0.0 |
| 6 | 0.0 |
| 7 | 0.0 |
| 8 | 0.2 |
| 9 | 2.8 |
| 10 | 0.0 |
| 11 | 0.0 |
| 12 | 0.0 |